Below is a relaxed structure of Ba2TlBr, with properties calculated at the PBE-GGA level.

a b c (Å): 6.2424 6.2424 3.9212
angles (deg): 90.56 90.56 90.05
Last column: nearest neighbours and their distance in Å.
Element x y z (fractional)
Ba  0.0000  0.5000  0.0000  4 Tl 3.67-3.70, 4 Br 3.67-3.70, 2 Ba 3.92
Ba  0.5000  0.0000  0.0000  4 Tl 3.67-3.70, 4 Br 3.67-3.70, 2 Ba 3.92
Tl  0.0000  0.0000  0.5000  8 Ba 3.67-3.70, 2 Tl 3.92
Br  0.5000  0.5000  0.5000  8 Ba 3.67-3.70, 2 Br 3.92

Symmetry: C2/m (12)
Raw total energy in eV per atom: -2.89
Formation energy without anion corrections in eV per atom: -0.92
Energy above the lowest structure with this stoichiometry in meV per atom: 67